# K2CoAs | Alexandria via LeMat-Bulk | PBE | relaxed
data_K2CoAs
_cell_length_a 4.383
_cell_length_b 5.887
_cell_length_c 9.905
_cell_angle_alpha 90.00
_cell_angle_beta 90.00
_cell_angle_gamma 90.00
_space_group_name_H-M_alt 'I m m 2'
_space_group_IT_number 44
loop_
_space_group_symop_operation_xyz
'x,y,z'
'-x,-y,z'
'-x,y,z'
'x,-y,z'
'x+1/2,y+1/2,z+1/2'
'-x+1/2,-y+1/2,z+1/2'
'-x+1/2,y+1/2,z+1/2'
'x+1/2,-y+1/2,z+1/2'
loop_
_atom_site_label
_atom_site_fract_x
_atom_site_fract_y
_atom_site_fract_z
_atom_site_occupancy
K1 0.000 0.000 0.000 1
K2 0.000 0.500 0.181 1
Co1 0.000 0.500 0.838 1
As1 0.000 0.000 0.356 1
# ΔE_f, eV/f.u.: 0.01
# Volume, Å³/cell: 255.5
# Total magnetic moment, μB/f.u.: 0.951